## LiCr2PbF6 (GGA+U)

Data for crystalline LiCr2PbF6 at its relaxed geometry.

a = 5.3361 Å, b = 5.4286 Å, c = 6.6832 Å
α = 94.20°, β = 110.98°, γ = 117.56°
Atoms (fractional coordinates):
1 Li 0.0000 0.0000 0.0000
2 Cr 0.5472 0.7880 0.3380
3 Cr 0.6286 0.3367 0.9408
4 Pb 0.0380 0.5615 0.5224
5 F 0.0504 0.7108 0.1373
6 F 0.1883 0.9801 0.7873
7 F 0.3984 0.3945 0.1580
8 F 0.5320 0.5978 0.7705
9 F 0.6866 0.1350 0.5866
10 F 0.7773 0.1157 0.1383

Results
Volume (Å³ per atom): 15.3
Size of the total moment (μB/f.u.): 9.00
Uncorrected energy (eV/cell): -54.82
Symmetry: P1 (1)